P) ## Hf2NiHRh (PBE-GGA)

Data for a geometry-optimized Hf2NiHRh structure.

Unit cell a=4.4385 b=4.4385 c=3.5808 alpha=90.00 beta=90.00 gamma=90.00
Closest atoms and distances in Å follow each position.
Positions (direct):
Rh 0.0000 0.0000 0.5000  2 H 1.79
Hf 0.0000 0.5000 0.0000  2 H 2.22
Hf 0.5000 0.0000 0.0000  2 H 2.22
H 0.0000 0.0000 0.0000  2 Rh 1.79
Ni 0.5000 0.5000 0.5000  8 Hf 2.85, 4 Rh 3.14

=====

Q) ## Hf2NiHRh (PBE-GGA)

Data for a geometry-optimized Hf2NiHRh structure.

Unit cell a=4.5220 b=4.5220 c=3.3902 alpha=90.00 beta=90.00 gamma=90.00
Closest atoms and distances in Å follow each position.
Positions (direct):
Rh 0.5000 0.5000 0.5000  8 Hf 2.83
Hf 0.0000 0.5000 0.0000  2 H 2.26
Hf 0.5000 0.0000 0.0000  2 H 2.26
H 0.0000 0.0000 0.0000  2 Ni 1.70
Ni 0.0000 0.0000 0.5000  2 H 1.70

=====

Most stable to least stable, the ends of the list are Q) and P).

=====

P) ## Hf2TcNiH (PBE-GGA)

Data for a geometry-optimized Hf2TcNiH structure.

Unit cell a=4.4809 b=4.4809 c=3.5177 alpha=90.00 beta=90.00 gamma=90.00
Closest atoms and distances in Å follow each position.
Positions (direct):
Ni 0.5000 0.5000 0.5000  8 Hf 2.85, 4 Tc 3.17
Hf 0.0000 0.5000 0.0000  2 H 2.24
Hf 0.5000 0.0000 0.0000  2 H 2.24
Tc 0.0000 0.0000 0.5000  2 H 1.76
H 0.0000 0.0000 0.0000  2 Tc 1.76

=====

Q) ## Hf2TcNiH (PBE-GGA)

Data for a geometry-optimized Hf2TcNiH structure.

Unit cell a=4.5349 b=4.5349 c=3.3548 alpha=90.00 beta=90.00 gamma=90.00
Closest atoms and distances in Å follow each position.
Positions (direct):
Ni 0.0000 0.0000 0.5000  2 H 1.68
Hf 0.0000 0.5000 0.0000  2 H 2.27
Hf 0.5000 0.0000 0.0000  2 H 2.27
Tc 0.5000 0.5000 0.5000  8 Hf 2.82
H 0.0000 0.0000 0.0000  2 Ni 1.68

=====

Most stable to least stable, the ends of the list are Q) and P).